(1)
Below is a geometry-optimized TaTi2Mo6 structure, with properties calculated at the PBE-GGA level.

Calculated values
Density of states at the Fermi level in states/eV/atom: 0.8521
ΔH_f (0 K) in eV per formula unit: 2.490
Final energy in Ry/atom: -0.73612
E above lowest polymorph in meV per atom: 0

Cell lengths 8.737, 5.579, 6.789 Å; angles 90.00, 113.25, 90.00 degrees
Space group C2/m (No. 12)
Symmetry-distinct sites (fractional):
Ta  0.000  0.000  0.000 [2 per cell]
Ti  0.166  0.500  0.107 [4 per cell]
Mo  0.063  0.262  0.704 [8 per cell]
Mo  0.233  0.000  0.447 [4 per cell]

(2)
Below is a geometry-optimized GdErCdPt structure, with properties calculated at the PBE-GGA level.

Calculated values
Density of states at the Fermi level in states/eV/atom: 0.7487
ΔH_f (0 K) in eV per formula unit: -2.869
Final energy in Ry/atom: -0.52311

Cell lengths 7.212, 7.212, 7.212 Å; angles 90.00, 90.00, 90.00 degrees
Space group F-43m (No. 216)
Symmetry-distinct sites (fractional):
Gd  0.000  0.000  0.000 [4 per cell]
Er  0.000  0.000  0.500 [4 per cell]
Cd  0.250  0.250  0.250 [4 per cell]
Pt  0.250  0.250  0.750 [4 per cell]

(3)
Below is a geometry-optimized K3Hg2Br8 structure, with properties calculated at the PBE-GGA level.

Calculated values
Density of states at the Fermi level in states/eV/atom: 0.9465
Formation energy (no corrections) in eV/f.u.: -12.1
Final energy in Ry/atom: -0.16583

Cell lengths 7.7628, 7.7628, 28.8159 Å; angles 90.00, 90.00, 120.00 degrees
Space group R-3m (No. 166, hexagonal axes)
Symmetry-distinct sites (fractional):
K  0.0000  0.0000  0.0000 [3 per cell]
K  0.0000  0.0000  0.2019 [6 per cell]
Hg  0.0000  0.0000  0.4029 [6 per cell]
Br  0.0000  0.0000  0.3124 [6 per cell]
Br  0.0334  0.5167  0.7701 [18 per cell]

(4)
Below is a geometry-optimized Ta2AlHRh structure, with properties calculated at the PBE-GGA level.

Calculated values
Density of states at the Fermi level in states/eV/atom: 0.6799
Final energy in Ry/atom: -0.57717
E above lowest polymorph in meV per atom: 49

Cell lengths 3.930, 3.930, 4.397 Å; angles 90.00, 90.00, 90.00 degrees
Space group P4/mmm (No. 123)
Symmetry-distinct sites (fractional):
Ta  0.000  0.500  0.000 [2 per cell]
Al  0.000  0.000  0.500 [1 per cell]
H  0.000  0.000  0.000 [1 per cell]
Rh  0.500  0.500  0.500 [1 per cell]

(5)
Below is a geometry-optimized TbSc2Pd structure, with properties calculated at the PBE-GGA level.

Calculated values
Density of states at the Fermi level in states/eV/atom: 1.1678
ΔH_f (0 K) in eV per formula unit: -0.970
Final energy in Ry/atom: -0.43100
E above lowest polymorph in meV per atom: 206

Cell lengths 3.4147, 3.4147, 28.4660 Å; angles 90.00, 90.00, 120.00 degrees
Space group R-3m (No. 166, hexagonal axes)
Symmetry-distinct sites (fractional):
Tb  0.0000  0.0000  0.0000 [3 per cell]
Sc  0.0000  0.0000  0.2339 [6 per cell]
Pd  0.0000  0.0000  0.5000 [3 per cell]

(6)
Below is a geometry-optimized LiFe2TcC structure, with properties calculated at the PBE-GGA level.

Calculated values
Density of states at the Fermi level in states/eV/atom: 1.3407
ΔH_f (0 K) in eV per formula unit: 6.582
Final energy in Ry/atom: -0.46814

Cell lengths 4.698, 4.698, 3.935 Å; angles 90.00, 90.00, 90.00 degrees
Space group P4/mmm (No. 123)
Symmetry-distinct sites (fractional):
Li  0.000  0.000  0.000 [1 per cell]
Fe  0.000  0.500  0.500 [2 per cell]
Tc  0.500  0.500  0.500 [1 per cell]
C  0.500  0.500  0.000 [1 per cell]

(7)
Below is a geometry-optimized Ga2Cu2Pd3 structure, with properties calculated at the PBE-GGA level.

Calculated values
Density of states at the Fermi level in states/eV/atom: 0.3181
ΔH_f (0 K) in eV per formula unit: -2.442
Final energy in Ry/atom: -0.33879

Cell lengths 3.942, 4.630, 6.258 Å; angles 97.18, 93.54, 115.07 degrees
Space group P-1 (No. 2)
Symmetry-distinct sites (fractional):
Ga  0.057  0.161  0.240 [2 per cell]
Cu  0.332  0.741  0.078 [2 per cell]
Pd  0.239  0.440  0.677 [2 per cell]
Pd  0.500  0.000  0.500 [1 per cell]

(8)
Below is a geometry-optimized KBeCdF5 structure, with properties calculated at the PBE-GGA level.

Calculated values
Density of states at the Fermi level in states/eV/atom: 0.0000
Formation energy (no corrections) in eV/f.u.: -22.2
Final energy in Ry/atom: -0.34289

Cell lengths 7.124, 9.647, 7.861 Å; angles 90.00, 113.41, 90.00 degrees
Space group C2/c (No. 15)
Symmetry-distinct sites (fractional):
K  0.000  0.153  0.250 [4 per cell]
Be  0.000  0.189  0.750 [4 per cell]
Cd  0.000  0.500  0.000 [4 per cell]
F  0.000  0.413  0.250 [4 per cell]
F  0.098  0.284  0.642 [8 per cell]
F  0.165  0.091  0.894 [8 per cell]

(9)
Below is a geometry-optimized Zr7Al2In2 structure, with properties calculated at the PBE-GGA level.

Calculated values
Density of states at the Fermi level in states/eV/atom: 1.1049
ΔH_f (0 K) in eV per formula unit: 1.759
Final energy in Ry/atom: -0.47467

Cell lengths 10.229, 7.543, 6.854 Å; angles 90.00, 90.06, 90.00 degrees
Space group C2/m (No. 12)
Symmetry-distinct sites (fractional):
Zr  0.000  0.000  0.000 [2 per cell]
Zr  0.000  0.500  0.258 [4 per cell]
Zr  0.250  0.250  0.278 [8 per cell]
Al  0.215  0.500  0.000 [4 per cell]
In  0.000  0.177  0.500 [4 per cell]

(10)
Below is a geometry-optimized NaSi2Te4 structure, with properties calculated at the PBE-GGA level.

Calculated values
Density of states at the Fermi level in states/eV/atom: 0.2255
Formation energy (no corrections) in eV/f.u.: -0.9
Final energy in Ry/atom: -0.26861
E above lowest polymorph in meV per atom: 87

Cell lengths 7.994, 7.997, 8.822 Å; angles 101.88, 101.94, 119.21 degrees
Space group P1 (No. 1)
Symmetry-distinct sites (fractional):
Na  0.000  0.000  0.000 [1 per cell]
Na  0.254  0.755  0.501 [1 per cell]
Si  0.067  0.394  0.829 [1 per cell]
Si  0.509  0.343  0.690 [1 per cell]
Si  0.593  0.260  0.190 [1 per cell]
Si  0.644  0.817  0.329 [1 per cell]
Te  0.257  0.535  0.154 [1 per cell]
Te  0.358  0.141  0.366 [1 per cell]
Te  0.390  0.108  0.867 [1 per cell]
Te  0.397  0.593  0.759 [1 per cell]
Te  0.785  0.007  0.654 [1 per cell]
Te  0.838  0.647  0.250 [1 per cell]
Te  0.843  0.148  0.259 [1 per cell]
Te  0.896  0.588  0.749 [1 per cell]

(11)
Below is a geometry-optimized Nd5Mg41 structure, with properties calculated at the PBE-GGA level.

Calculated values
Density of states at the Fermi level in states/eV/atom: 0.4424
ΔH_f (0 K) in eV per formula unit: -2.868
Final energy in Ry/atom: -0.14714

Cell lengths 14.700, 14.700, 10.398 Å; angles 90.00, 90.00, 90.00 degrees
Space group I4/m (No. 87)
Symmetry-distinct sites (fractional):
Nd  0.000  0.000  0.000 [2 per cell]
Nd  0.072  0.264  0.500 [8 per cell]
Mg  0.000  0.000  0.500 [2 per cell]
Mg  0.009  0.403  0.000 [8 per cell]
Mg  0.061  0.227  0.147 [16 per cell]
Mg  0.076  0.633  0.259 [16 per cell]
Mg  0.076  0.864  0.311 [16 per cell]
Mg  0.122  0.780  0.000 [8 per cell]
Mg  0.159  0.717  0.500 [8 per cell]
Mg  0.250  0.250  0.250 [8 per cell]

(12)
Below is a geometry-optimized Bi3TeCl7 structure, with properties calculated at the PBE-GGA level.

Calculated values
Density of states at the Fermi level in states/eV/atom: 0.0000
Formation energy (no corrections) in eV/f.u.: -9.5
Final energy in Ry/atom: -0.24896

Cell lengths 8.3320, 8.3320, 7.1592 Å; angles 90.00, 90.00, 120.00 degrees
Space group P3m1 (No. 156)
Symmetry-distinct sites (fractional):
Bi  0.1692  0.3385  0.0000 [3 per cell]
Te  0.3333  0.6667  0.2694 [1 per cell]
Cl  0.0000  0.0000  0.7653 [1 per cell]
Cl  0.0220  0.5110  0.7896 [3 per cell]
Cl  0.3114  0.1557  0.2018 [3 per cell]

(13)
Below is a geometry-optimized La5PmGa4 structure, with properties calculated at the PBE-GGA level.

Calculated values
Density of states at the Fermi level in states/eV/atom: 0.8957
ΔH_f (0 K) in eV per formula unit: -3.119
Final energy in Ry/atom: -0.32791

Cell lengths 17.786, 4.417, 8.182 Å; angles 90.00, 99.09, 90.00 degrees
Space group C2/m (No. 12)
Symmetry-distinct sites (fractional):
La  0.000  0.000  0.000 [2 per cell]
La  0.142  0.500  0.240 [4 per cell]
La  0.195  0.500  0.786 [4 per cell]
Pm  0.000  0.000  0.500 [2 per cell]
Ga  0.029  0.500  0.760 [4 per cell]
Ga  0.201  0.000  0.506 [4 per cell]

(14)
Below is a geometry-optimized HgSb2Pt structure, with properties calculated at the PBE-GGA level.

Calculated values
Density of states at the Fermi level in states/eV/atom: 0.5667
Formation energy (no corrections) in eV/f.u.: -0.2
Final energy in Ry/atom: -0.27093

Cell lengths 3.432, 4.676, 12.096 Å; angles 90.00, 90.00, 90.00 degrees
Space group Immm (No. 71)
Symmetry-distinct sites (fractional):
Hg  0.000  0.000  0.000 [2 per cell]
Sb  0.000  0.500  0.181 [4 per cell]
Pt  0.000  0.000  0.500 [2 per cell]

(15)
Below is a geometry-optimized Zr3CdTc structure, with properties calculated at the PBE-GGA level.

Calculated values
Density of states at the Fermi level in states/eV/atom: 2.3909
ΔH_f (0 K) in eV per formula unit: 1.960
Final energy in Ry/atom: -0.51398
E above lowest polymorph in meV per atom: 0

Cell lengths 5.043, 5.043, 5.043 Å; angles 90.00, 90.00, 90.00 degrees
Space group Pm-3m (No. 221)
Symmetry-distinct sites (fractional):
Zr  0.000  0.000  0.500 [3 per cell]
Cd  0.500  0.500  0.500 [1 per cell]
Tc  0.000  0.000  0.000 [1 per cell]

(16)
Below is a geometry-optimized AgTe2Se3 structure, with properties calculated at the PBE-GGA level.

Calculated values
Density of states at the Fermi level in states/eV/atom: 0.5068
Formation energy (no corrections) in eV/f.u.: -0.1
Final energy in Ry/atom: -0.24071
E above lowest polymorph in meV per atom: 0

Cell lengths 5.890, 5.891, 9.658 Å; angles 90.00, 107.57, 90.00 degrees
Space group C2 (No. 5)
Symmetry-distinct sites (fractional):
Ag  0.000  0.000  0.000 [2 per cell]
Te  0.151  0.499  0.304 [4 per cell]
Se  0.000  0.499  0.000 [2 per cell]
Se  0.144  0.999  0.291 [4 per cell]

(17)
Below is a geometry-optimized PaBrO2 structure, with properties calculated at the PBE-GGA level.

Calculated values
Density of states at the Fermi level in states/eV/atom: 0.0000
Formation energy (no corrections) in eV/f.u.: -11.1
Final energy in Ry/atom: -0.59141
E above lowest polymorph in meV per atom: 0

Cell lengths 5.815, 10.365, 3.436 Å; angles 90.00, 90.00, 90.00 degrees
Space group Cmmm (No. 65)
Symmetry-distinct sites (fractional):
Pa  0.000  0.000  0.000 [2 per cell]
Br  0.000  0.500  0.000 [2 per cell]
O  0.000  0.120  0.500 [4 per cell]

(18)
Below is a geometry-optimized Ac3Be2Ge3 structure, with properties calculated at the PBE-GGA level.

Calculated values
Density of states at the Fermi level in states/eV/atom: 0.5881
ΔH_f (0 K) in eV per formula unit: -3.769
Final energy in Ry/atom: -0.34359

Cell lengths 4.112, 11.821, 16.109 Å; angles 90.00, 90.00, 90.00 degrees
Space group Cmcm (No. 63)
Symmetry-distinct sites (fractional):
Ac  0.000  0.025  0.250 [4 per cell]
Ac  0.000  0.342  0.091 [8 per cell]
Be  0.000  0.373  0.620 [8 per cell]
Ge  0.000  0.074  0.059 [8 per cell]
Ge  0.000  0.257  0.750 [4 per cell]

(19)
Below is a geometry-optimized K15Li structure, with properties calculated at the PBE-GGA level.

Calculated values
Density of states at the Fermi level in states/eV/atom: 0.7382
ΔH_f (0 K) in eV per formula unit: 0.517
Final energy in Ry/atom: -0.08204

Cell lengths 9.2560, 9.2560, 14.8498 Å; angles 90.00, 90.00, 120.00 degrees
Space group P-6m2 (No. 187)
Symmetry-distinct sites (fractional):
K  0.0000  0.0000  0.0000 [1 per cell]
K  0.0062  0.5031  0.5000 [3 per cell]
K  0.3241  0.1620  0.2638 [6 per cell]
K  0.3333  0.6667  0.2434 [2 per cell]
K  0.5029  0.0059  0.0000 [3 per cell]
Li  0.0000  0.0000  0.5000 [1 per cell]

(20)
Below is a geometry-optimized ZrScTl2 structure, with properties calculated at the PBE-GGA level.

Calculated values
Density of states at the Fermi level in states/eV/atom: 0.8924
ΔH_f (0 K) in eV per formula unit: 0.039
Final energy in Ry/atom: -0.35965

Cell lengths 3.247, 3.247, 9.521 Å; angles 90.00, 90.00, 90.00 degrees
Space group P4mm (No. 99)
Symmetry-distinct sites (fractional):
Zr  0.000  0.000  0.000 [1 per cell]
Sc  0.500  0.500  0.224 [1 per cell]
Tl  0.000  0.000  0.474 [1 per cell]
Tl  0.500  0.500  0.744 [1 per cell]